[1]
LiGdLuCd: relaxed, GGA-PBE.

As for the crystal system: cubic. Its energy of formation is -0.114 eV/atom. For the total energy, the calculation gives -21.9 eV per cell.

a b c (Å): 5.239 5.239 5.239
angles (deg): 60.00 60.00 60.00
Fractional positions:
Li 0.000 0.000 0.000
Gd 0.250 0.250 0.250
Lu 0.750 0.750 0.750
Cd 0.500 0.500 0.500


[2]
Ta3PtO: relaxed, GGA-PBE.

Its uncorrected formation energy is -17.770 kcal/mol of atoms. As for the crystal system: cubic. For the total energy, the calculation gives -50.4 eV per cell.

a b c (Å): 4.220 4.220 4.220
angles (deg): 90.00 90.00 90.00
Fractional positions:
Ta 0.000 0.000 0.500
Ta 0.000 0.500 0.000
Ta 0.500 0.000 0.000
Pt 0.500 0.500 0.500
O 0.000 0.000 0.000


[3]
Hf2AlCuH: relaxed, GGA-PBE.

As for the crystal system: tetragonal. For the total energy, the calculation gives -32.3 eV per cell.

a b c (Å): 4.301 4.301 3.948
angles (deg): 90.00 90.00 90.00
Fractional positions:
Hf 0.000 0.500 0.000
Hf 0.500 0.000 0.000
Al 0.000 0.000 0.500
Cu 0.500 0.500 0.500
H 0.500 0.500 0.000


One value per record, in order, for DOS at the Fermi energy: 4.716 4.009 2.980 states/eV/f.u..